Entry 1:
First-principles (PBE) data for crystalline BaBe2Cr at its relaxed geometry, as listed in Alexandria.

Calculated values
Formation enthalpy at 0 K   0.7341 eV/atom

Structure (POSCAR):
```
BaBe2Cr
1.0
-2.3187 2.3187 8.5584
2.3187 -2.3187 8.5584
2.3187 2.3187 -8.5584
Ba Be Cr
2 4 2
Direct
0.3750 0.6250 0.7500 Ba
0.6250 0.3750 0.2500 Ba
0.0000 0.0000 0.0000 Be
0.0000 0.0000 0.5000 Be
0.0000 0.5000 0.0000 Be
0.5000 0.0000 0.5000 Be
0.1250 0.8750 0.2500 Cr
0.8750 0.1250 0.7500 Cr
```

---

Entry 2:
First-principles (PBE) data for crystalline BeCu2Tc at its relaxed geometry, as listed in Alexandria.

Calculated values
Formation enthalpy at 0 K   0.1728 eV/atom

Structure (POSCAR):
```
BeCu2Tc
1.0
2.6513 0.0000 0.0000
0.0000 4.1236 0.0000
0.0000 0.0000 4.3632
Be Cu Tc
1 2 1
Direct
0.0000 0.0000 0.0000 Be
0.0000 0.5000 0.5000 Cu
0.5000 0.0000 0.5000 Cu
0.5000 0.5000 0.0000 Tc
```

---

Entry 3:
First-principles (PBE) data for crystalline As2IrC at its relaxed geometry, as listed in Alexandria.

Calculated values
Formation enthalpy at 0 K   0.5333 eV/atom

Structure (POSCAR):
```
As2IrC
1.0
-2.6586 2.6586 4.6127
2.6586 -2.6586 4.6127
2.6586 2.6586 -4.6127
As Ir C
4 2 2
Direct
0.0719 0.6250 0.9469 As
0.3750 0.3219 0.4469 As
0.6781 0.1250 0.0531 As
0.8750 0.9281 0.5531 As
0.2500 0.7500 0.5000 Ir
0.5000 0.5000 0.0000 Ir
0.0000 0.0000 0.0000 C
0.7500 0.2500 0.5000 C
```

---

Entry 4:
First-principles (PBE) data for crystalline Pr4Sb3H at its relaxed geometry, as listed in Alexandria.

Calculated values
Final energy   -5.23 eV/atom

Structure (POSCAR):
```
Pr4Sb3H
1.0
12.6129 0.0000 0.0000
0.0000 6.3713 0.0000
0.0000 0.0000 6.3648
Pr Sb H
8 6 2
Direct
0.0000 0.1820 0.0000 Pr
0.0000 0.7499 0.5595 Pr
0.2452 0.2446 0.5015 Pr
0.2548 0.7554 0.0015 Pr
0.5000 0.2501 0.0595 Pr
0.5000 0.8180 0.5000 Pr
0.7452 0.7554 0.0015 Pr
0.7548 0.2446 0.5015 Pr
0.0000 0.2498 0.5006 Sb
0.2493 0.2556 0.0026 Sb
0.2507 0.7444 0.5026 Sb
0.5000 0.7502 0.0006 Sb
0.7493 0.7444 0.5026 Sb
0.7507 0.2556 0.0026 Sb
0.0000 0.8204 0.9235 H
0.5000 0.1796 0.4235 H
```

---

Entry 5:
First-principles (PBE) data for crystalline LaTb2NdTh at its relaxed geometry, as listed in Alexandria.

Calculated values
Formation enthalpy at 0 K   0.2926 eV/atom

Structure (POSCAR):
```
LaTb2NdTh
1.0
8.7148 0.0000 0.0000
0.0000 6.5394 0.0000
-1.3627 0.0000 6.2871
La Tb Nd Th
2 4 2 2
Direct
0.0000 0.0000 0.0000 La
0.0000 0.0000 0.5000 La
0.3144 0.3319 0.1819 Tb
0.3144 0.6681 0.6819 Tb
0.6856 0.3319 0.3181 Tb
0.6856 0.6681 0.8181 Tb
0.5000 0.1638 0.7500 Nd
0.5000 0.8362 0.2500 Nd
0.0000 0.4536 0.7500 Th
0.0000 0.5464 0.2500 Th
```

---

Entry 6:
First-principles (PBE) data for crystalline Pu2ScAs3 at its relaxed geometry, as listed in Alexandria.

Calculated values
Formation enthalpy at 0 K   -1.1063 eV/atom

Structure (POSCAR):
```
Pu2ScAs3
1.0
-2.0351 2.0351 8.5489
2.0351 -2.0351 8.5489
2.0351 2.0351 -8.5489
Pu Sc As
2 1 3
Direct
0.1657 0.1657 0.0000 Pu
0.8343 0.8343 0.0000 Pu
0.5000 0.5000 0.0000 Sc
0.0000 0.0000 0.0000 As
0.3372 0.3372 0.0000 As
0.6628 0.6628 0.0000 As
```

---

Entry 7:
First-principles (PBE) data for crystalline TiGaTcPt at its relaxed geometry, as listed in Alexandria.

Calculated values
Formation enthalpy at 0 K   -0.6712 eV/atom

Structure (POSCAR):
```
TiGaTcPt
1.0
0.0000 3.0933 3.0933
3.0933 0.0000 3.0933
3.0933 3.0933 0.0000
Ti Ga Tc Pt
1 1 1 1
Direct
0.0000 0.0000 0.0000 Ti
0.5000 0.5000 0.5000 Ga
0.2500 0.2500 0.2500 Tc
0.7500 0.7500 0.7500 Pt
```

---

Entry 8:
First-principles (PBE) data for crystalline MoRhCl at its relaxed geometry, as listed in Alexandria.

Calculated values
Final energy   -6.66 eV/atom

Structure (POSCAR):
```
MoRhCl
1.0
2.9249 0.0000 0.0000
-1.4625 2.5331 0.0000
0.0000 0.0000 6.5412
Mo Rh Cl
1 1 1
Direct
0.0000 0.0000 0.0000 Mo
0.6667 0.3333 0.3108 Rh
0.3333 0.6667 0.7106 Cl
```

---

Number 1: N(E_F) 4.55 states/eV/cell. Number 2: N(E_F) 3.62 states/eV/cell. Number 3: N(E_F) 7.25 states/eV/cell. Number 4: N(E_F) 10.51 states/eV/cell. Number 5: N(E_F) 14.32 states/eV/cell. Number 6: N(E_F) 18.84 states/eV/cell. Number 7: N(E_F) 0.26 states/eV/cell. Number 8: N(E_F) 3.32 states/eV/cell.